An optimized crystal structure of BaNaCo3. Source: Alexandria, functional PBE-GGA.

Cell: 4.912 4.912 4.912 Å, 90.00 90.00 90.00°
Positions (direct):
Ba: 0.000 0.000 0.000
Na: 0.500 0.500 0.500
Co: 0.000 0.500 0.500
Co: 0.500 0.000 0.500
Co: 0.500 0.500 0.000

Calculated values
energy above the most stable polymorph in this dataset	0.000	eV per atom
SG	Pm-3m (221)
energy relative to the elements	1.503	eV per atom
total moment	4.94	μB per cell